1.
Entry from the Alexandria database: a relaxed structure of Hg2WC (PBE).

Cell: 8.7515 8.7515 4.1216 Å, 90.00 90.00 90.00°
Last column: nearest neighbours and their distance in Å.
Space group I-42d (No. 122)
One atom of each set of equivalent atoms:
Hg (0.1316, 0.2500, 0.1250) [8 per cell]  2 C 2.53
W (0.0000, 0.0000, 0.5000) [4 per cell]  2 C 2.06
C (0.0000, 0.0000, 0.0000) [4 per cell]  2 W 2.06

## Properties
Its density of states at the Fermi level is 14.347 states/eV/cell. Its formation energy is 1.403 eV per atom. The value obtained for the electronic total energy is -4.29 eV/atom. For the total magnetization, the calculation gives 5.39 Bohr magnetons per cell.

2.
Entry from the Alexandria database: a relaxed structure of HoErV (PBE).

Cell: 10.9186 5.2341 6.5238 Å, 90.00 126.66 90.00°
Last column: nearest neighbours and their distance in Å.
Space group Cm (No. 8)
One atom of each set of equivalent atoms:
Ho (0.0000, 0.0000, 0.0000) [2 per cell]  2 V 3.09, 4 Er 3.26-3.32, 2 Ho 3.32
Ho (0.1395, 0.5000, 0.3903) [2 per cell]  3 V 2.98-3.31, 4 Er 3.25-3.32, 2 Ho 3.32
Er (0.9999, 0.0000, 0.5003) [2 per cell]  2 V 3.09, 4 Ho 3.26-3.32, 2 Er 3.31
Er (0.3604, 0.0000, 0.6100) [2 per cell]  3 V 2.98-3.31, 4 Ho 3.25-3.32, 2 Er 3.31
V (0.2002, 0.5000, 0.9505) [2 per cell]  2 V 2.76, 1 Er 2.98
V (0.2997, 0.0000, 0.0497) [2 per cell]  2 V 2.76, 1 Ho 2.98

## Properties
Its density of states at the Fermi level is 17.184 states/eV/cell. Its formation energy is 0.372 eV per atom. The value obtained for the electronic total energy is -5.71 eV/atom. For the total magnetization, the calculation gives 9.26 Bohr magnetons per cell.

3.
Entry from the Alexandria database: a relaxed structure of PmTm2Ir (PBE).

Cell: 4.6038 4.6038 18.6398 Å, 90.00 90.00 120.00°
Last column: nearest neighbours and their distance in Å.
Space group R3m (No. 160, hexagonal axes)
One atom of each set of equivalent atoms:
Pm (0.0000, 0.0000, 0.0000) [3 per cell]  1 Ir 3.10, 6 Tm 3.42
Tm (0.0000, 0.0000, 0.5514) [3 per cell]  3 Ir 2.83
Tm (0.0000, 0.0000, 0.7823) [3 per cell]  3 Ir 2.82
Ir (0.0000, 0.0000, 0.1664) [3 per cell]  6 Tm 2.82-2.83, 1 Pm 3.10

## Properties
Its density of states at the Fermi level is 6.593 states/eV/cell. Its formation energy is -0.402 eV per atom. The value obtained for the electronic total energy is -6.04 eV/atom. For the total magnetization, the calculation gives 0.00 Bohr magnetons per cell. The energy above the most stable polymorph in this dataset comes out at 176 meV per atom.

4.
Entry from the Alexandria database: a relaxed structure of Ca2MgZn7 (PBE).

Cell: 4.1563 4.1563 11.5684 Å, 90.00 90.00 90.00°
Last column: nearest neighbours and their distance in Å.
Space group P-4m2 (No. 115)
One atom of each set of equivalent atoms:
Ca (0.0000, 0.5000, 0.2406) [2 per cell]  12 Zn 3.18-3.47
Mg (0.0000, 0.0000, 0.5000) [1 per cell]  8 Zn 2.70-2.94
Zn (0.0000, 0.0000, 0.0000) [1 per cell]  4 Zn 2.60
Zn (0.0000, 0.5000, 0.6489) [2 per cell]  3 Zn 2.49-2.70, 2 Mg 2.70
Zn (0.0000, 0.5000, 0.8645) [2 per cell]  5 Zn 2.49-2.60
Zn (0.5000, 0.5000, 0.0000) [1 per cell]  4 Zn 2.60
Zn (0.5000, 0.5000, 0.5000) [1 per cell]  4 Zn 2.70, 4 Mg 2.94

## Properties
Its density of states at the Fermi level is 3.861 states/eV/cell. Its formation energy is -0.223 eV per atom. The value obtained for the electronic total energy is -1.67 eV/atom. For the total magnetization, the calculation gives 0.00 Bohr magnetons per cell.

5.
Entry from the Alexandria database: a relaxed structure of Mg3AgBr (PBE).

Cell: 5.2375 5.2375 5.2375 Å, 90.00 90.00 90.00°
Last column: nearest neighbours and their distance in Å.
Space group Pm-3m (No. 221)
One atom of each set of equivalent atoms:
Mg (0.0000, 0.0000, 0.5000) [3 per cell]  2 Ag 2.62
Ag (0.0000, 0.0000, 0.0000) [1 per cell]  6 Mg 2.62
Br (0.5000, 0.5000, 0.5000) [1 per cell]  12 Mg 3.70

## Properties
The calculation puts the formation energy from raw total energies at -102 meV per atom. Its density of states at the Fermi level is 1.976 states/eV/cell. The value obtained for the electronic total energy is -1.96 eV/atom. For the total magnetization, the calculation gives 0.00 Bohr magnetons per cell. The energy above the most stable polymorph in this dataset comes out at 0 meV per atom.

6.
Entry from the Alexandria database: a relaxed structure of CsHgSN2 (PBE).

Cell: 4.4172 4.4172 7.0731 Å, 90.00 90.00 90.00°
Last column: nearest neighbours and their distance in Å.
Space group P4/mmm (No. 123)
One atom of each set of equivalent atoms:
Cs (0.0000, 0.0000, 0.0000) [1 per cell]  4 N 2.21
Hg (0.5000, 0.5000, 0.5000) [1 per cell]  4 S 3.12
S (0.0000, 0.0000, 0.5000) [1 per cell]  4 Hg 3.12
N (0.0000, 0.5000, 0.0000) [2 per cell]  2 Cs 2.21

## Properties
The calculation puts the formation energy from raw total energies at 2269 meV per atom. Its density of states at the Fermi level is 4.608 states/eV/cell. The value obtained for the electronic total energy is -2.12 eV/atom. For the total magnetization, the calculation gives 2.38 Bohr magnetons per cell.

7.
Entry from the Alexandria database: a relaxed structure of K2NaAgCl (PBE).

Cell: 6.0646 6.0646 5.3396 Å, 90.00 90.00 90.00°
Last column: nearest neighbours and their distance in Å.
Space group P4/mmm (No. 123)
One atom of each set of equivalent atoms:
K (0.0000, 0.5000, 0.0000) [2 per cell]  2 Cl 3.03
Na (0.0000, 0.0000, 0.5000) [1 per cell]  2 Cl 2.67
Ag (0.5000, 0.5000, 0.5000) [1 per cell]  8 K 4.04, 4 Na 4.29
Cl (0.0000, 0.0000, 0.0000) [1 per cell]  2 Na 2.67

## Properties
The calculation puts the formation energy from raw total energies at -599 meV per atom. Its density of states at the Fermi level is 1.813 states/eV/cell. The value obtained for the electronic total energy is -2.24 eV/atom. For the total magnetization, the calculation gives 0.00 Bohr magnetons per cell.

8.
Entry from the Alexandria database: a relaxed structure of TaPRh2 (PBE).

Cell: 6.1732 6.1732 6.1732 Å, 90.00 90.00 90.00°
Last column: nearest neighbours and their distance in Å.
Space group F-43m (No. 216)
One atom of each set of equivalent atoms:
Ta (0.0000, 0.0000, 0.0000) [4 per cell]  4 P 2.67, 4 Rh 2.67
P (0.2500, 0.2500, 0.7500) [4 per cell]  4 Ta 2.67, 4 Rh 2.67
Rh (0.0000, 0.0000, 0.5000) [4 per cell]  4 Rh 2.67, 4 P 2.67
Rh (0.2500, 0.2500, 0.2500) [4 per cell]  4 Ta 2.67, 4 Rh 2.67

## Properties
Its density of states at the Fermi level is 19.011 states/eV/cell. Its formation energy is -0.232 eV per atom. The value obtained for the electronic total energy is -8.22 eV/atom. For the total magnetization, the calculation gives 0.00 Bohr magnetons per cell.

9.
Entry from the Alexandria database: a relaxed structure of Pr6Si2RuBr3 (PBE).

Cell: 19.3498 4.2193 9.1406 Å, 90.00 106.74 90.00°
Last column: nearest neighbours and their distance in Å.
Space group C2/m (No. 12)
One atom of each set of equivalent atoms:
Pr (0.0068, 0.0000, 0.2198) [4 per cell]  2 Ru 2.89, 1 Si 2.94
Pr (0.1487, 0.5000, 0.1055) [4 per cell]  1 Ru 2.76, 2 Si 2.95
Pr (0.1760, 0.5000, 0.5661) [4 per cell]  3 Si 2.92-2.95, 2 Br 3.26
Si (0.1651, 0.0000, 0.3393) [4 per cell]  6 Pr 2.92-2.95
Ru (0.0000, 0.5000, 0.0000) [2 per cell]  6 Pr 2.76-2.89
Br (0.0000, 0.5000, 0.5000) [2 per cell]  6 Pr 3.28-3.35
Br (0.1727, 0.0000, 0.8362) [4 per cell]  6 Pr 3.26-3.37

## Properties
The calculation puts the formation energy from raw total energies at -962 meV per atom. Its density of states at the Fermi level is 13.167 states/eV/cell. The value obtained for the electronic total energy is -5.45 eV/atom. For the total magnetization, the calculation gives 0.00 Bohr magnetons per cell.

10.
Entry from the Alexandria database: a relaxed structure of RbSb2Se (PBE).

Cell: 9.2928 9.2928 6.2907 Å, 90.00 90.00 90.00°
Last column: nearest neighbours and their distance in Å.
Space group I-42d (No. 122)
One atom of each set of equivalent atoms:
Rb (0.0000, 0.0000, 0.0000) [4 per cell]  2 Se 3.15
Sb (0.1904, 0.7500, 0.6250) [8 per cell]  2 Se 3.02, 2 Sb 3.33
Se (0.0000, 0.0000, 0.5000) [4 per cell]  4 Sb 3.02, 2 Rb 3.15

## Properties
The calculation puts the formation energy from raw total energies at -24 meV per atom. Its density of states at the Fermi level is 12.627 states/eV/cell. The value obtained for the electronic total energy is -3.20 eV/atom. For the total magnetization, the calculation gives 0.00 Bohr magnetons per cell.